1.
# Cs2FeWBr6

Cs2FeWBr6 after structural relaxation (PBE-GGA, Alexandria via LeMat-Bulk).

abc: 7.613 7.613 7.613
angles: 118.23 118.23 93.10
Sites, in units of the cell vectors:
Cs 0.250 0.750 0.500
Cs 0.750 0.250 0.500
Fe 0.000 0.000 0.000
W 0.500 0.500 0.000
Br 0.242 0.242 0.000
Br 0.261 0.261 0.522
Br 0.261 0.739 0.000
Br 0.739 0.261 0.000
Br 0.739 0.739 0.478
Br 0.758 0.758 0.000

Raw total energy, eV/atom: -4.0101
Formation energy from raw total energies, eV per atom: -0.69
Space group: I4/mmm (139)
Calculated volume, Å³/f.u.: 319.8

---

2.
# Cs2YFeBr6

Cs2YFeBr6 after structural relaxation (PBE-GGA, Alexandria via LeMat-Bulk).

abc: 7.800 7.800 7.800
angles: 60.00 60.00 60.00
Sites, in units of the cell vectors:
Cs 0.250 0.250 0.250
Cs 0.750 0.750 0.750
Y 0.000 0.000 0.000
Fe 0.500 0.500 0.500
Br 0.256 0.256 0.744
Br 0.256 0.744 0.256
Br 0.256 0.744 0.744
Br 0.744 0.256 0.256
Br 0.744 0.256 0.744
Br 0.744 0.744 0.256

Raw total energy, eV/atom: -4.0541
Formation energy from raw total energies, eV per atom: -1.39
Space group: Fm-3m (225)
Calculated volume, Å³/f.u.: 335.6

---

3.
# Cs2ZnFeBr6

Cs2ZnFeBr6 after structural relaxation (PBE-GGA, Alexandria via LeMat-Bulk).

abc: 7.887 7.887 7.887
angles: 120.72 120.72 88.76
Sites, in units of the cell vectors:
Cs 0.250 0.750 0.500
Cs 0.750 0.250 0.500
Zn 0.000 0.000 0.000
Fe 0.500 0.500 0.000
Br 0.209 0.209 0.000
Br 0.272 0.272 0.544
Br 0.272 0.728 0.000
Br 0.728 0.272 0.000
Br 0.728 0.728 0.456
Br 0.791 0.791 0.000

Raw total energy, eV/atom: -3.2025
Formation energy from raw total energies, eV per atom: -1.05
Space group: I4/mmm (139)
Calculated volume, Å³/f.u.: 343.1

---

4.
# CsZnFe2Br8

CsZnFe2Br8 after structural relaxation (PBE-GGA, Alexandria via LeMat-Bulk).

abc: 6.687 6.687 10.405
angles: 97.20 97.20 68.69
Sites, in units of the cell vectors:
Cs 0.000 0.000 0.000
Zn 0.000 0.000 0.500
Fe 0.387 0.387 0.698
Fe 0.613 0.613 0.302
Br 0.226 0.732 0.310
Br 0.237 0.237 0.506
Br 0.268 0.774 0.690
Br 0.321 0.321 0.903
Br 0.679 0.679 0.097
Br 0.732 0.226 0.310
Br 0.763 0.763 0.494
Br 0.774 0.268 0.690

Raw total energy, eV/atom: -3.4675
Formation energy from raw total energies, eV per atom: -0.76
Space group: C2/m (12)
Calculated volume, Å³/f.u.: 428.4

---

5.
# Cs2ZrFeBr6

Cs2ZrFeBr6 after structural relaxation (PBE-GGA, Alexandria via LeMat-Bulk).

abc: 7.682 7.682 7.682
angles: 120.07 120.07 89.88
Sites, in units of the cell vectors:
Cs 0.250 0.750 0.500
Cs 0.750 0.250 0.500
Zr 0.000 0.000 0.000
Fe 0.500 0.500 0.000
Br 0.252 0.252 0.000
Br 0.253 0.253 0.505
Br 0.253 0.747 0.000
Br 0.747 0.253 0.000
Br 0.747 0.747 0.495
Br 0.748 0.748 0.000

Raw total energy, eV/atom: -4.0177
Formation energy from raw total energies, eV per atom: -1.14
Space group: I4/mmm (139)
Calculated volume, Å³/f.u.: 320.3

---

6.
# Cs2GaBr

Cs2GaBr after structural relaxation (PBE-GGA, Alexandria via LeMat-Bulk).

abc: 6.438 6.438 6.438
angles: 60.00 60.00 60.00
Sites, in units of the cell vectors:
Cs 0.250 0.250 0.250
Cs 0.750 0.750 0.750
Ga 0.000 0.000 0.000
Br 0.500 0.500 0.500

Raw total energy, eV/atom: -2.0872
Distance to the lowest polymorph of the same formula, meV/atom: 14
Formation energy from raw total energies, eV per atom: -0.49
Space group: Fm-3m (225)
Calculated volume, Å³/f.u.: 188.7

---

7.
# CsGaBr2

CsGaBr2 after structural relaxation (PBE-GGA, Alexandria via LeMat-Bulk).

abc: 9.219 9.219 9.219
angles: 131.34 131.34 71.28
Sites, in units of the cell vectors:
Cs 0.000 0.000 0.000
Cs 0.750 0.250 0.500
Ga 0.250 0.750 0.500
Ga 0.500 0.500 0.000
Br 0.185 0.625 0.060
Br 0.375 0.435 0.560
Br 0.565 0.125 0.940
Br 0.875 0.815 0.440

Raw total energy, eV/atom: -2.8878
Distance to the lowest polymorph of the same formula, meV/atom: 73
Formation energy from raw total energies, eV per atom: -1.08
Space group: I-42d (122)
Calculated volume, Å³/f.u.: 216.2

---

8.
# CsGa2Br8

CsGa2Br8 after structural relaxation (PBE-GGA, Alexandria via LeMat-Bulk).

abc: 7.976 7.976 9.305
angles: 107.41 107.41 57.83
Sites, in units of the cell vectors:
Cs 0.000 0.000 0.000
Ga 0.229 0.229 0.710
Ga 0.771 0.771 0.290
Br 0.079 0.581 0.191
Br 0.148 0.148 0.445
Br 0.406 0.406 0.791
Br 0.419 0.921 0.809
Br 0.581 0.079 0.191
Br 0.594 0.594 0.209
Br 0.852 0.852 0.555
Br 0.921 0.419 0.809

Raw total energy, eV/atom: -2.7394
Formation energy from raw total energies, eV per atom: -0.89
Space group: C2/m (12)
Calculated volume, Å³/f.u.: 470.9

---

9.
# Cs3Ga2Br6

Cs3Ga2Br6 after structural relaxation (PBE-GGA, Alexandria via LeMat-Bulk).

abc: 14.718 14.718 14.718
angles: 157.77 157.77 31.64
Sites, in units of the cell vectors:
Cs 0.000 0.000 0.000
Cs 0.176 0.176 0.000
Cs 0.824 0.824 0.000
Ga 0.401 0.401 0.000
Ga 0.599 0.599 0.000
Br 0.087 0.587 0.500
Br 0.306 0.306 0.000
Br 0.413 0.913 0.500
Br 0.587 0.087 0.500
Br 0.694 0.694 0.000
Br 0.913 0.413 0.500

Raw total energy, eV/atom: -2.9641
Formation energy from raw total energies, eV per atom: -1.27
Space group: I4/mmm (139)
Calculated volume, Å³/f.u.: 455.9

---

10.
# CsGa2Br8

CsGa2Br8 after structural relaxation (PBE-GGA, Alexandria via LeMat-Bulk).

abc: 8.408 8.408 7.287
angles: 96.62 96.62 73.23
Sites, in units of the cell vectors:
Cs 0.000 0.000 0.000
Ga 0.249 0.249 0.610
Ga 0.751 0.751 0.390
Br 0.041 0.677 0.342
Br 0.269 0.269 0.288
Br 0.323 0.959 0.658
Br 0.400 0.400 0.801
Br 0.600 0.600 0.199
Br 0.677 0.041 0.342
Br 0.731 0.731 0.712
Br 0.959 0.323 0.658

Raw total energy, eV/atom: -2.7389
Formation energy from raw total energies, eV per atom: -0.89
Space group: C2/m (12)
Calculated volume, Å³/f.u.: 488.2

---

11.
# Cs2Ga2Br

Cs2Ga2Br after structural relaxation (PBE-GGA, Alexandria via LeMat-Bulk).

abc: 6.736 6.736 6.736
angles: 113.63 113.63 101.44
Sites, in units of the cell vectors:
Cs 0.250 0.750 0.500
Cs 0.750 0.250 0.500
Ga 0.142 0.142 0.000
Ga 0.858 0.858 0.000
Br 0.500 0.500 0.000

Raw total energy, eV/atom: -2.1488
Distance to the lowest polymorph of the same formula, meV/atom: 3
Formation energy from raw total energies, eV per atom: -0.26
Space group: I4/mmm (139)
Calculated volume, Å³/f.u.: 231.8

---

12.
# Cs2Ga2Br7

Cs2Ga2Br7 after structural relaxation (PBE-GGA, Alexandria via LeMat-Bulk).

abc: 6.674 16.968 9.090
angles: 90.00 103.08 90.00
Sites, in units of the cell vectors:
Cs 0.141 0.150 0.464
Cs 0.141 0.350 0.964
Cs 0.859 0.650 0.036
Cs 0.859 0.850 0.536
Ga 0.311 0.605 0.620
Ga 0.311 0.895 0.120
Ga 0.689 0.105 0.880
Ga 0.689 0.395 0.380
Br 0.016 0.142 0.042
Br 0.016 0.358 0.542
Br 0.256 0.557 0.862
Br 0.256 0.943 0.362
Br 0.500 0.000 0.000
Br 0.500 0.228 0.808
Br 0.500 0.272 0.308
Br 0.500 0.500 0.500
Br 0.500 0.728 0.692
Br 0.500 0.772 0.192
Br 0.744 0.057 0.638
Br 0.744 0.443 0.138
Br 0.984 0.642 0.458
Br 0.984 0.858 0.958

Raw total energy, eV/atom: -2.9024
Formation energy from raw total energies, eV per atom: -1.13
Space group: P2_1/c (14)
Calculated volume, Å³/f.u.: 501.4

---

13.
# CsGaBr2

CsGaBr2 after structural relaxation (PBE-GGA, Alexandria via LeMat-Bulk).

abc: 4.093 4.093 8.279
angles: 90.00 90.00 90.00
Sites, in units of the cell vectors:
Cs 0.000 0.000 0.000
Ga 0.000 0.000 0.500
Br 0.500 0.500 0.276
Br 0.500 0.500 0.724

Raw total energy, eV/atom: -2.8656
Distance to the lowest polymorph of the same formula, meV/atom: 96
Formation energy from raw total energies, eV per atom: -1.06
Space group: P4/mmm (123)
Calculated volume, Å³/f.u.: 138.7

---

14.
# Cs4GaBr7

Cs4GaBr7 after structural relaxation (PBE-GGA, Alexandria via LeMat-Bulk).

abc: 10.594 10.594 14.925
angles: 129.30 129.30 29.70
Sites, in units of the cell vectors:
Cs 0.109 0.109 0.371
Cs 0.285 0.285 0.173
Cs 0.715 0.715 0.827
Cs 0.891 0.891 0.629
Ga 0.500 0.500 0.000
Br 0.000 0.000 0.000
Br 0.118 0.118 0.855
Br 0.310 0.310 0.430
Br 0.365 0.365 0.812
Br 0.635 0.635 0.188
Br 0.690 0.690 0.570
Br 0.882 0.882 0.145

Raw total energy, eV/atom: -2.8048
Formation energy from raw total energies, eV per atom: -1.29
Space group: C2/m (12)
Calculated volume, Å³/f.u.: 626.9

---

15.
# CsGaBr2

CsGaBr2 after structural relaxation (PBE-GGA, Alexandria via LeMat-Bulk).

abc: 8.599 8.599 8.599
angles: 32.12 32.12 32.12
Sites, in units of the cell vectors:
Cs 0.000 0.000 0.000
Ga 0.168 0.168 0.168
Br 0.571 0.571 0.571
Br 0.764 0.764 0.764

Raw total energy, eV/atom: -2.9194
Distance to the lowest polymorph of the same formula, meV/atom: 42
Formation energy from raw total energies, eV per atom: -1.11
Space group: R3m (160)
Calculated volume, Å³/f.u.: 159.7

---

16.
# CsGa2Br

CsGa2Br after structural relaxation (PBE-GGA, Alexandria via LeMat-Bulk).

abc: 5.756 5.756 5.756
angles: 60.00 60.00 60.00
Sites, in units of the cell vectors:
Cs 0.000 0.000 0.000
Ga 0.250 0.250 0.250
Ga 0.750 0.750 0.750
Br 0.500 0.500 0.500

Raw total energy, eV/atom: -2.0862
Distance to the lowest polymorph of the same formula, meV/atom: 465
Formation energy from raw total energies, eV per atom: 0.06
Space group: Fm-3m (225)
Calculated volume, Å³/f.u.: 134.9

---

17.
# CsGaBr3

CsGaBr3 after structural relaxation (PBE-GGA, Alexandria via LeMat-Bulk).

abc: 6.510 6.510 6.510
angles: 90.00 90.00 90.00
Sites, in units of the cell vectors:
Cs 0.000 0.000 0.000
Ga 0.500 0.500 0.500
Br 0.000 0.000 0.500
Br 0.000 0.500 0.000
Br 0.500 0.000 0.000

Raw total energy, eV/atom: -2.1325
Formation energy from raw total energies, eV per atom: -0.35
Space group: Pm-3m (221)
Calculated volume, Å³/f.u.: 275.8

---

18.
# Cs2GaBr7

Cs2GaBr7 after structural relaxation (PBE-GGA, Alexandria via LeMat-Bulk).

abc: 8.137 8.137 8.137
angles: 117.52 117.52 94.34
Sites, in units of the cell vectors:
Cs 0.250 0.750 0.500
Cs 0.750 0.250 0.500
Ga 0.000 0.000 0.000
Br 0.208 0.208 0.415
Br 0.208 0.792 0.000
Br 0.269 0.269 0.000
Br 0.500 0.500 0.000
Br 0.731 0.731 0.000
Br 0.792 0.208 0.000
Br 0.792 0.792 0.585

Raw total energy, eV/atom: -2.6424
Formation energy from raw total energies, eV per atom: -1.00
Space group: I4/mmm (139)
Calculated volume, Å³/f.u.: 394.0

---

19.
# CsGaBr2

CsGaBr2 after structural relaxation (PBE-GGA, Alexandria via LeMat-Bulk).

abc: 5.849 5.849 4.130
angles: 90.00 90.00 90.00
Sites, in units of the cell vectors:
Cs 0.000 0.000 0.000
Ga 0.500 0.500 0.000
Br 0.000 0.500 0.500
Br 0.500 0.000 0.500

Raw total energy, eV/atom: -2.8396
Distance to the lowest polymorph of the same formula, meV/atom: 122
Formation energy from raw total energies, eV per atom: -1.03
Space group: P4/mmm (123)
Calculated volume, Å³/f.u.: 141.3

---

20.
# CsGaBr3

CsGaBr3 after structural relaxation (PBE-GGA, Alexandria via LeMat-Bulk).

abc: 7.414 7.426 7.821
angles: 90.00 118.11 90.00
Sites, in units of the cell vectors:
Cs 0.076 0.250 0.302
Cs 0.924 0.750 0.698
Ga 0.430 0.250 0.960
Ga 0.570 0.750 0.040
Br 0.042 0.250 0.797
Br 0.482 0.504 0.741
Br 0.482 0.996 0.741
Br 0.518 0.004 0.259
Br 0.518 0.496 0.259
Br 0.958 0.750 0.203

Raw total energy, eV/atom: -2.8474
Formation energy from raw total energies, eV per atom: -1.07
Space group: P2_1/m (11)
Calculated volume, Å³/f.u.: 189.9